No. 1
The following is a GGA-PBE calculation of an optimized crystal structure of ScMnMo2, from Alexandria via LeMat-Bulk.

Summary:
* space group: Immm, No. 71
* crystal system: orthorhombic
* ΔE to the lowest computed polymorph: 0.000 eV/atom
* E_form: 0.051 eV/atom

extended XYZ file:
```
4
Lattice="-1.559 2.217 4.506 1.559 -2.217 4.506 1.559 2.217 -4.506" Properties=species:S:1:pos:R:3 pbc="T T T"
Sc 0.000 0.000 0.000
Mn 0.000 0.000 4.506
Mo 1.559 0.000 2.408
Mo 0.000 2.217 2.098
```

No. 2
The following is a GGA-PBE calculation of an optimized crystal structure of TlCr2Cu, from Alexandria via LeMat-Bulk.

Summary:
* space group: C2/m, No. 12
* crystal system: monoclinic
* E_form: 0.612 eV/atom

extended XYZ file:
```
4
Lattice="4.542 -1.487 0.000 4.542 1.487 0.000 -1.126 0.000 4.615" Properties=species:S:1:pos:R:3 pbc="T T T"
Tl 0.000 0.000 0.000
Cr 1.455 0.000 3.056
Cr 6.503 0.000 1.559
Cu 3.979 0.000 2.308
```

No. 3
The following is a GGA-PBE calculation of an optimized crystal structure of Y4AlOs, from Alexandria via LeMat-Bulk.

Summary:
* space group: F-43m, No. 216
* crystal system: cubic
* ΔE to the lowest computed polymorph: 0.000 eV/atom
* E_form: -0.290 eV/atom

extended XYZ file:
```
24
Lattice="0.000 6.769 6.769 6.769 0.000 6.769 6.769 6.769 0.000" Properties=species:S:1:pos:R:3 pbc="T T T"
Y 6.769 6.769 2.596
Y 6.769 2.596 6.769
Y 10.942 6.769 6.769
Y 5.410 5.410 5.410
Y 8.128 8.128 5.410
Y 8.128 5.410 8.128
Y 10.154 10.154 7.517
Y 10.154 7.517 10.154
Y 12.791 10.154 10.154
Y 5.410 8.128 8.128
Y 2.596 6.769 6.769
Y 6.769 10.942 6.769
Y 6.769 6.769 10.942
Y 7.517 10.154 10.154
Y 10.154 12.791 10.154
Y 10.154 10.154 12.791
Al 2.347 2.347 2.347
Al 4.422 4.422 2.347
Al 4.422 2.347 4.422
Al 2.347 4.422 4.422
Os 8.268 5.271 5.271
Os 5.271 8.268 5.271
Os 5.271 5.271 8.268
Os 8.268 8.268 8.268
```

No. 4
The following is a GGA-PBE calculation of an optimized crystal structure of Tb6YMg, from Alexandria via LeMat-Bulk.

Summary:
* space group: C2/m, No. 12
* crystal system: monoclinic
* ΔE to the lowest computed polymorph: 0.000 eV/atom
* E_form: 0.024 eV/atom

extended XYZ file:
```
8
Lattice="5.542 -2.505 0.000 5.542 2.505 0.000 -4.503 0.000 8.914" Properties=species:S:1:pos:R:3 pbc="T T T"
Tb -1.103 0.000 2.223
Tb -0.055 0.000 5.598
Tb 2.263 0.000 1.095
Tb 4.318 0.000 7.819
Tb 6.636 0.000 3.316
Tb 7.684 0.000 6.690
Y 3.290 0.000 4.457
Mg 5.542 0.000 0.000
```